Entry 1:
Compound: LiTbCeGe
Source: Alexandria
Functional: PBE-GGA
Structure: optimized geometry

Unit cell a=7.211 b=7.211 c=7.211 alpha=90.00 beta=90.00 gamma=90.00
Space group F-43m (No. 216)
Unique sites:
1 Li 0.000 0.000 0.000 (multiplicity 4)
2 Tb 0.250 0.250 0.750 (multiplicity 4)
3 Ce 0.250 0.250 0.250 (multiplicity 4)
4 Ge 0.000 0.000 0.500 (multiplicity 4)

## Properties
The value obtained for the total magnetization is 4.12 μB per cell. The calculation puts the formation enthalpy at 0 K at -0.325 eV per atom. The calculation puts the total energy at -4.5989 eV/atom. The density of states at the Fermi level comes out at 9.2 states/eV/f.u.


Entry 2:
Compound: LiCeTcGe2
Source: Alexandria
Functional: PBE-GGA
Structure: optimized geometry

Unit cell a=4.147 b=4.147 c=10.809 alpha=90.00 beta=90.00 gamma=90.00
Space group I-4m2 (No. 119)
Unique sites:
1 Li 0.000 0.000 0.000 (multiplicity 2)
2 Ce 0.000 0.500 0.250 (multiplicity 2)
3 Tc 0.000 0.000 0.500 (multiplicity 2)
4 Ge 0.000 0.500 0.628 (multiplicity 4)

## Properties
The value obtained for the total magnetization is 1.35 μB per cell. The calculation puts the formation enthalpy at 0 K at -0.388 eV per atom. The calculation puts the total energy at -5.8774 eV/atom. The density of states at the Fermi level comes out at 8.7 states/eV/f.u.


Entry 3:
Compound: LiCeTcGe
Source: Alexandria
Functional: PBE-GGA
Structure: optimized geometry

Unit cell a=6.515 b=6.515 c=6.515 alpha=90.00 beta=90.00 gamma=90.00
Space group F-43m (No. 216)
Unique sites:
1 Li 0.000 0.000 0.000 (multiplicity 4)
2 Ce 0.250 0.250 0.750 (multiplicity 4)
3 Tc 0.000 0.000 0.500 (multiplicity 4)
4 Ge 0.250 0.250 0.250 (multiplicity 4)

## Properties
The value obtained for the total magnetization is 0.00 μB per cell. The calculation puts the formation enthalpy at 0 K at -0.197 eV per atom. The calculation puts the total energy at -5.9045 eV/atom. The density of states at the Fermi level comes out at 3.7 states/eV/f.u.


Entry 4:
Compound: LiCeTlGe
Source: Alexandria
Functional: PBE-GGA
Structure: optimized geometry

Unit cell a=7.195 b=7.195 c=7.195 alpha=90.00 beta=90.00 gamma=90.00
Space group F-43m (No. 216)
Unique sites:
1 Li 0.000 0.000 0.000 (multiplicity 4)
2 Ce 0.000 0.000 0.500 (multiplicity 4)
3 Tl 0.250 0.250 0.250 (multiplicity 4)
4 Ge 0.250 0.250 0.750 (multiplicity 4)

## Properties
The value obtained for the total magnetization is 3.30 μB per cell. The calculation puts the formation enthalpy at 0 K at -0.327 eV per atom. The calculation puts the total energy at -4.0349 eV/atom. The density of states at the Fermi level comes out at 5.9 states/eV/f.u.


Entry 5:
Compound: LiCeYGe
Source: Alexandria
Functional: PBE-GGA
Structure: optimized geometry

Unit cell a=7.204 b=7.204 c=7.204 alpha=90.00 beta=90.00 gamma=90.00
Space group F-43m (No. 216)
Unique sites:
1 Li 0.000 0.000 0.000 (multiplicity 4)
2 Ce 0.250 0.250 0.750 (multiplicity 4)
3 Y 0.250 0.250 0.250 (multiplicity 4)
4 Ge 0.000 0.000 0.500 (multiplicity 4)

## Properties
The value obtained for the total magnetization is 4.02 μB per cell. The calculation puts the formation enthalpy at 0 K at -0.339 eV per atom. The calculation puts the total energy at -5.0711 eV/atom. The density of states at the Fermi level comes out at 9.1 states/eV/f.u.


Entry 6:
Compound: Li2CeYGe2
Source: Alexandria
Functional: PBE-GGA
Structure: optimized geometry

Unit cell a=4.4478 b=4.4478 c=7.3399 alpha=90.00 beta=90.00 gamma=120.00
Space group P-3m1 (No. 164)
Unique sites:
1 Li 0.3333 0.6667 0.2255 (multiplicity 2)
2 Ce 0.0000 0.0000 0.5000 (multiplicity 1)
3 Y 0.0000 0.0000 0.0000 (multiplicity 1)
4 Ge 0.3333 0.6667 0.7542 (multiplicity 2)

## Properties
The value obtained for the total magnetization is 0.79 μB per cell. The calculation puts the formation enthalpy at 0 K at -0.628 eV per atom. The calculation puts the total energy at -4.8718 eV/atom. The density of states at the Fermi level comes out at 6.4 states/eV/f.u.


Entry 7:
Compound: LiCeZn2Ge2
Source: Alexandria
Functional: PBE-GGA
Structure: optimized geometry

Unit cell a=4.2809 b=4.2809 c=7.0126 alpha=90.00 beta=90.00 gamma=120.00
Space group P-3m1 (No. 164)
Unique sites:
1 Li 0.0000 0.0000 0.0000 (multiplicity 1)
2 Ce 0.0000 0.0000 0.5000 (multiplicity 1)
3 Zn 0.3333 0.6667 0.1739 (multiplicity 2)
4 Ge 0.3333 0.6667 0.7573 (multiplicity 2)

## Properties
The value obtained for the total magnetization is 0.78 μB per cell. The calculation puts the formation enthalpy at 0 K at -0.475 eV per atom. The calculation puts the total energy at -3.7472 eV/atom. The density of states at the Fermi level comes out at 5.7 states/eV/f.u.


Entry 8:
Compound: Li2CeZn2Ge2
Source: Alexandria
Functional: PBE-GGA
Structure: optimized geometry

Unit cell a=4.2476 b=4.2476 c=23.6761 alpha=90.00 beta=90.00 gamma=120.00
Space group R-3m (No. 166, hexagonal axes)
Unique sites:
1 Li 0.0000 0.0000 0.1445 (multiplicity 6)
2 Ce 0.0000 0.0000 0.0000 (multiplicity 3)
3 Zn 0.0000 0.0000 0.4415 (multiplicity 6)
4 Ge 0.0000 0.0000 0.2590 (multiplicity 6)

## Properties
The value obtained for the total magnetization is 1.20 μB per cell. The calculation puts the formation enthalpy at 0 K at -0.487 eV per atom. The calculation puts the total energy at -3.5647 eV/atom. The density of states at the Fermi level comes out at 5.2 states/eV/f.u.